Material: Zn2ReI
Method: DFT, PBE
State: optimized geometry

Cell: 7.6186 7.6186 7.6186 Å, 131.63 131.63 70.82°
Last column: nearest neighbours and their distance in Å.
Element x y z (fractional)
Zn1 0.0723 0.6250 0.9473  2 Re 2.52
Zn2 0.3750 0.3223 0.4473  2 Re 2.52
Zn3 0.6777 0.1250 0.0527  2 Re 2.52
Zn4 0.8750 0.9277 0.5527  2 Re 2.52
Re1 0.0000 0.0000 0.0000  4 Zn 2.52
Re2 0.7500 0.2500 0.5000  4 Zn 2.52
I1 0.2500 0.7500 0.5000  4 Zn 2.90
I2 0.5000 0.5000 0.0000  4 Zn 2.90

Volume, A^3/atom: 30.25
Final energy, eV per atom: -2.8959
Relative energy among the computed polymorphs, meV per atom: 0
SG: I-42d, No. 122
E_form (uncorrected), eV/atom: 1.2407